A plane-wave DFT calculation with PBE-GGA was carried out for a geometry-optimized TaV4Ag2 structure.

Cell lengths 4.620, 4.620, 13.500 Å; angles 90.00, 90.00, 90.00 degrees
Fractional coordinates of all 14 atoms:
Ta 0.000 0.000 0.000
Ta 0.500 0.500 0.500
V 0.000 0.000 0.189
V 0.000 0.000 0.811
V 0.000 0.500 0.000
V 0.000 0.500 0.500
V 0.500 0.000 0.000
V 0.500 0.000 0.500
V 0.500 0.500 0.311
V 0.500 0.500 0.689
Ag 0.000 0.000 0.387
Ag 0.000 0.000 0.613
Ag 0.500 0.500 0.113
Ag 0.500 0.500 0.887

The energy is -6.4003 eV/atom. Its space group is I4/mmm, No. 139. The density of states at the Fermi level is 10.78 states/eV/f.u.

A plane-wave DFT calculation with PBE-GGA was carried out for a geometry-optimized TaV2Ag structure.

Cell lengths 6.308, 6.308, 6.308 Å; angles 90.00, 90.00, 90.00 degrees
Fractional coordinates of all 16 atoms:
Ta 0.000 0.000 0.000
Ta 0.000 0.500 0.500
Ta 0.500 0.000 0.500
Ta 0.500 0.500 0.000
V 0.250 0.250 0.250
V 0.250 0.250 0.750
V 0.250 0.750 0.250
V 0.250 0.750 0.750
V 0.750 0.250 0.250
V 0.750 0.250 0.750
V 0.750 0.750 0.250
V 0.750 0.750 0.750
Ag 0.000 0.000 0.500
Ag 0.000 0.500 0.000
Ag 0.500 0.000 0.000
Ag 0.500 0.500 0.500

The energy is -7.8631 eV/atom. The offset from the most stable computed form comes out at 0 meV per atom. Its space group is Fm-3m, No. 225. The density of states at the Fermi level is 5.26 states/eV/f.u.

A plane-wave DFT calculation with PBE-GGA was carried out for a geometry-optimized TaV2Ag structure.

Cell lengths 3.817, 3.817, 18.812 Å; angles 90.00, 90.00, 90.00 degrees
Fractional coordinates of all 16 atoms:
Ta 0.000 0.000 0.000
Ta 0.000 0.500 0.250
Ta 0.500 0.000 0.750
Ta 0.500 0.500 0.500
V 0.229 0.250 0.125
V 0.250 0.729 0.375
V 0.250 0.771 0.875
V 0.271 0.250 0.625
V 0.729 0.750 0.625
V 0.750 0.229 0.875
V 0.750 0.271 0.375
V 0.771 0.750 0.125
Ag 0.000 0.000 0.500
Ag 0.000 0.500 0.750
Ag 0.500 0.000 0.250
Ag 0.500 0.500 0.000

The energy is -7.4025 eV/atom. The offset from the most stable computed form comes out at 461 meV per atom. Its space group is I-42d, No. 122. The density of states at the Fermi level is 3.80 states/eV/f.u.

A plane-wave DFT calculation with PBE-GGA was carried out for a geometry-optimized TaAg2W structure.

Cell lengths 3.570, 3.570, 5.471 Å; angles 90.00, 90.00, 90.00 degrees
Fractional coordinates of all 4 atoms:
Ta 0.000 0.000 0.000
Ag 0.500 0.500 0.252
Ag 0.500 0.500 0.748
W 0.000 0.000 0.500

The energy is -6.8202 eV/atom. The offset from the most stable computed form comes out at 571 meV per atom. Its space group is P4/mmm, No. 123. The density of states at the Fermi level is 3.41 states/eV/f.u.

A plane-wave DFT calculation with PBE-GGA was carried out for a geometry-optimized TaAg2W structure.

Cell lengths 3.301, 4.527, 9.339 Å; angles 90.00, 90.00, 90.00 degrees
Fractional coordinates of all 8 atoms:
Ta 0.000 0.000 0.000
Ta 0.500 0.500 0.000
Ag 0.000 0.000 0.487
Ag 0.000 0.500 0.743
Ag 0.500 0.000 0.743
Ag 0.500 0.500 0.487
W 0.000 0.500 0.235
W 0.500 0.000 0.235

The energy is -7.3909 eV/atom. The offset from the most stable computed form comes out at 0 meV per atom. Its space group is Cmm2, No. 35. The density of states at the Fermi level is 2.38 states/eV/f.u.

A plane-wave DFT calculation with PBE-GGA was carried out for a geometry-optimized TaAgW structure.

Cell lengths 2.672, 4.352, 8.959 Å; angles 90.00, 90.00, 90.00 degrees
Fractional coordinates of all 6 atoms:
Ta 0.000 0.000 0.000
Ta 0.500 0.500 0.500
Ag 0.000 0.000 0.672
Ag 0.500 0.500 0.172
W 0.000 0.000 0.341
W 0.500 0.500 0.841

The energy is -8.7371 eV/atom. The offset from the most stable computed form comes out at 202 meV per atom. Its space group is Imm2, No. 44. The density of states at the Fermi level is 2.20 states/eV/f.u.

A plane-wave DFT calculation with PBE-GGA was carried out for a geometry-optimized TaAg2W structure.

Cell lengths 6.548, 6.548, 6.548 Å; angles 90.00, 90.00, 90.00 degrees
Fractional coordinates of all 16 atoms:
Ta 0.000 0.000 0.000
Ta 0.000 0.500 0.500
Ta 0.500 0.000 0.500
Ta 0.500 0.500 0.000
Ag 0.000 0.000 0.500
Ag 0.000 0.500 0.000
Ag 0.250 0.250 0.250
Ag 0.250 0.750 0.750
Ag 0.500 0.000 0.000
Ag 0.500 0.500 0.500
Ag 0.750 0.250 0.750
Ag 0.750 0.750 0.250
W 0.250 0.250 0.750
W 0.250 0.750 0.250
W 0.750 0.250 0.250
W 0.750 0.750 0.750

The energy is -6.9148 eV/atom. The offset from the most stable computed form comes out at 476 meV per atom. Its space group is F-43m, No. 216. The density of states at the Fermi level is 4.99 states/eV/f.u.

A plane-wave DFT calculation with PBE-GGA was carried out for a geometry-optimized TaAgW structure.

Cell lengths 3.320, 4.408, 14.104 Å; angles 90.00, 90.00, 90.00 degrees
Fractional coordinates of all 12 atoms:
Ta 0.000 0.000 0.000
Ta 0.000 0.500 0.500
Ta 0.500 0.000 0.500
Ta 0.500 0.500 0.000
Ag 0.000 0.000 0.329
Ag 0.000 0.500 0.829
Ag 0.500 0.000 0.829
Ag 0.500 0.500 0.329
W 0.000 0.000 0.661
W 0.000 0.500 0.161
W 0.500 0.000 0.161
W 0.500 0.500 0.661

The energy is -8.9389 eV/atom. The offset from the most stable computed form comes out at 0 meV per atom. Its space group is Fmm2, No. 42. The density of states at the Fermi level is 2.24 states/eV/f.u.

A plane-wave DFT calculation with PBE-GGA was carried out for a geometry-optimized TaAg2W structure.

Cell lengths 3.873, 3.873, 9.123 Å; angles 90.00, 90.00, 90.00 degrees
Fractional coordinates of all 8 atoms:
Ta 0.000 0.000 0.000
Ta 0.500 0.500 0.500
Ag 0.000 0.500 0.250
Ag 0.000 0.500 0.750
Ag 0.500 0.000 0.250
Ag 0.500 0.000 0.750
W 0.000 0.000 0.500
W 0.500 0.500 0.000

The energy is -7.0957 eV/atom. The offset from the most stable computed form comes out at 295 meV per atom. Its space group is I4/mmm, No. 139. The density of states at the Fermi level is 3.73 states/eV/f.u.

A plane-wave DFT calculation with PBE-GGA was carried out for a geometry-optimized TaAgW structure.

Cell lengths 2.739, 2.739, 13.745 Å; angles 90.00, 90.00, 90.00 degrees
Fractional coordinates of all 6 atoms:
Ta 0.000 0.000 0.000
Ta 0.500 0.500 0.500
Ag 0.000 0.000 0.332
Ag 0.500 0.500 0.832
W 0.000 0.000 0.668
W 0.500 0.500 0.168

The energy is -8.8378 eV/atom. The offset from the most stable computed form comes out at 101 meV per atom. Its space group is I4mm, No. 107. The density of states at the Fermi level is 2.33 states/eV/f.u.

A plane-wave DFT calculation with PBE-GGA was carried out for a geometry-optimized TaAgW structure.

Cell lengths 6.296, 6.296, 6.296 Å; angles 90.00, 90.00, 90.00 degrees
Fractional coordinates of all 12 atoms:
Ta 0.000 0.000 0.000
Ta 0.000 0.500 0.500
Ta 0.500 0.000 0.500
Ta 0.500 0.500 0.000
Ag 0.250 0.250 0.750
Ag 0.250 0.750 0.250
Ag 0.750 0.250 0.250
Ag 0.750 0.750 0.750
W 0.250 0.250 0.250
W 0.250 0.750 0.750
W 0.750 0.250 0.750
W 0.750 0.750 0.250

The energy is -7.8290 eV/atom. The offset from the most stable computed form comes out at 1110 meV per atom. Its space group is F-43m, No. 216. The density of states at the Fermi level is 4.29 states/eV/f.u.

A plane-wave DFT calculation with PBE-GGA was carried out for a geometry-optimized TaAg2W structure.

Cell lengths 3.110, 4.480, 9.958 Å; angles 90.00, 90.00, 90.00 degrees
Fractional coordinates of all 8 atoms:
Ta 0.000 0.000 0.000
Ta 0.500 0.500 0.000
Ag 0.000 0.500 0.252
Ag 0.000 0.500 0.748
Ag 0.500 0.000 0.252
Ag 0.500 0.000 0.748
W 0.000 0.000 0.500
W 0.500 0.500 0.500

The energy is -7.0940 eV/atom. The offset from the most stable computed form comes out at 297 meV per atom. Its space group is Cmmm, No. 65. The density of states at the Fermi level is 3.41 states/eV/f.u.

A plane-wave DFT calculation with PBE-GGA was carried out for a geometry-optimized TaAg2W structure.

Cell lengths 3.107, 4.482, 9.978 Å; angles 90.00, 90.00, 90.00 degrees
Fractional coordinates of all 8 atoms:
Ta 0.000 0.000 0.000
Ta 0.500 0.500 0.500
Ag 0.000 0.500 0.246
Ag 0.000 0.500 0.754
Ag 0.500 0.000 0.254
Ag 0.500 0.000 0.746
W 0.000 0.000 0.500
W 0.500 0.500 0.000

The energy is -7.1284 eV/atom. The offset from the most stable computed form comes out at 263 meV per atom. Its space group is Immm, No. 71. The density of states at the Fermi level is 2.68 states/eV/f.u.

A plane-wave DFT calculation with PBE-GGA was carried out for a geometry-optimized TaAgW structure.

Cell lengths 2.827, 2.827, 7.543 Å; angles 90.00, 90.00, 120.00 degrees
Fractional coordinates of all 3 atoms:
Ta 0.000 0.000 0.000
Ag 0.667 0.333 0.664
W 0.333 0.667 0.334

The energy is -8.8025 eV/atom. The offset from the most stable computed form comes out at 136 meV per atom. Its space group is P3m1, No. 156. The density of states at the Fermi level is 2.11 states/eV/f.u.

A plane-wave DFT calculation with PBE-GGA was carried out for a geometry-optimized TaAg2W structure.

Cell lengths 10.273, 3.016, 4.591 Å; angles 90.00, 102.77, 90.00 degrees
Fractional coordinates of all 8 atoms:
Ta 0.000 0.000 0.000
Ta 0.500 0.500 0.000
Ag 0.247 0.000 0.747
Ag 0.253 0.500 0.253
Ag 0.747 0.500 0.747
Ag 0.753 0.000 0.253
W 0.000 0.500 0.500
W 0.500 0.000 0.500

The energy is -7.1599 eV/atom. The offset from the most stable computed form comes out at 231 meV per atom. Its space group is C2/m, No. 12. The density of states at the Fermi level is 2.41 states/eV/f.u.

Calculated energy of formation from the pure elements, 1.318, 0.372, 0.833, 0.807, 0.236, 0.482, 0.712, 0.280, 0.531, 0.381, 1.390, 0.533, 0.499, 0.416, 0.467 eV per atom (same order as the records).